# TbTlW2O8

An optimized crystal structure of TbTlW2O8 (PBE with a Hubbard U, Alexandria via LeMat-Bulk).

```
TbTlW2O8
1.0
7.6944 0.0086 -0.0091
0.2019 7.6917 -0.0091
3.4863 3.3997 5.6973
O Tb W Tl
16 2 4 2
direct
0.2282 0.0442 0.3058 O
0.5923 0.3731 0.9647 O
0.7513 0.6230 0.0591 O
0.2487 0.3770 0.9409 O
0.9407 0.6348 0.6230 O
0.3731 0.5923 0.4647 O
0.6230 0.7513 0.5591 O
0.0593 0.3652 0.3770 O
0.9558 0.7718 0.1942 O
0.3770 0.2487 0.4409 O
0.7718 0.9558 0.6942 O
0.0442 0.2282 0.8058 O
0.6348 0.9407 0.1230 O
0.3652 0.0593 0.8770 O
0.6269 0.4077 0.5353 O
0.4077 0.6269 0.0353 O
0.2239 0.7761 0.2500 Tb
0.7761 0.2239 0.7500 Tb
0.7000 0.6905 0.7849 W
0.3000 0.3095 0.2151 W
0.6905 0.7000 0.2849 W
0.3095 0.3000 0.7151 W
0.2116 0.7884 0.7500 Tl
0.7884 0.2116 0.2500 Tl
```

Summary:
Total magnetization (μB/f.u.): 0.0
Total DFT energy (no corrections) (eV for the cell shown): -176.43
DOS at the Fermi energy (states/eV/cell): 0.0